Entry P
VASP calculation (PBE-GGA) on a relaxed structure of Hf2Hg2Pd.

Cell lengths 7.211, 7.211, 3.981 Å; angles 90.00, 90.00, 90.00 degrees
Sites, in units of the cell vectors:
Hf: 0.166 0.666 0.500
Hf: 0.666 0.834 0.500
Hf: 0.834 0.334 0.500
Hf: 0.334 0.166 0.500
Hg: 0.361 0.861 0.000
Hg: 0.861 0.639 0.000
Hg: 0.639 0.139 0.000
Hg: 0.139 0.361 0.000
Pd: 0.000 0.000 0.000
Pd: 0.500 0.500 0.000

Summary:
crystal system: tetragonal
density of states at the Fermi level: 0.67 states/eV/atom



Entry Q
VASP calculation (PBE-GGA) on a relaxed structure of Hf2Hg2Pd.

Cell lengths 7.974, 7.974, 3.414 Å; angles 90.00, 90.00, 90.00 degrees
Sites, in units of the cell vectors:
Hf: 0.334 0.834 0.000
Hf: 0.834 0.666 0.000
Hf: 0.666 0.166 0.000
Hf: 0.166 0.334 0.000
Hg: 0.136 0.636 0.500
Hg: 0.636 0.864 0.500
Hg: 0.864 0.364 0.500
Hg: 0.364 0.136 0.500
Pd: 0.000 0.000 0.000
Pd: 0.500 0.500 0.000

Summary:
crystal system: tetragonal
density of states at the Fermi level: 1.32 states/eV/atom



Among the structures above, stability is smallest for entry Q.